This record from the Alexandria database describes a geometry-optimized ReNi2Sb structure. The functional is PBE.

Lattice parameters (Å, degrees): 3.7383 2.8397 6.2149 62.67 90.00 90.00
Last column: nearest neighbours and their distance in Å.
Fractional coordinates of all 4 atoms:
Sb1 0.5000 0.7500 0.7500  2 Re 2.76, 8 Ni 2.80-2.81, 2 Sb 2.84
Ni1 0.0000 0.9734 0.0280  1 Ni 2.45, 4 Re 2.65
Ni2 0.0000 0.5266 0.4720  1 Ni 2.45, 4 Re 2.65
Re1 0.5000 0.2500 0.2500  8 Ni 2.65, 2 Sb 2.76, 2 Re 2.84

Values from the calculation:
The value obtained for the formation energy from raw total energies is 260 meV per atom. The calculation puts the magnetization at 0.00 μB per atom. The final energy is -6.773 eV per atom. Its density is 12.05 g/cm³.

---

This record from the Alexandria database describes a geometry-optimized ReNi2Sb structure. The functional is PBE.

Lattice parameters (Å, degrees): 5.0217 5.0217 5.0217 143.78 128.27 64.78
Last column: nearest neighbours and their distance in Å.
Fractional coordinates of all 4 atoms:
Ni1 0.4936 0.4936 0.0000  2 Sb 2.59, 2 Re 2.68, 4 Ni 2.69
Ni2 0.0064 0.0064 0.0000  2 Sb 2.59, 2 Re 2.68, 4 Ni 2.69
Re1 0.7500 0.2500 0.5000  4 Ni 2.68, 4 Sb 2.69
Sb1 0.2500 0.7500 0.5000  4 Ni 2.59, 4 Re 2.69

Values from the calculation:
The value obtained for the formation energy from raw total energies is 392 meV per atom. The calculation puts the magnetization at 0.00 μB per atom. The final energy is -6.641 eV per atom. Its density is 12.18 g/cm³.

---

This record from the Alexandria database describes a geometry-optimized ReNi2Sb structure. The functional is PBE.

Lattice parameters (Å, degrees): 4.5832 4.5832 4.5971 80.18 80.18 38.41
Last column: nearest neighbours and their distance in Å.
Fractional coordinates of all 4 atoms:
Ni1 0.4928 0.4928 0.5297  2 Ni 2.55, 3 Re 2.61-2.64, 3 Sb 2.65-2.80
Ni2 0.0072 0.0072 0.9703  2 Ni 2.55, 3 Re 2.61-2.64, 3 Sb 2.65-2.80
Re1 0.7500 0.7500 0.7500  6 Ni 2.61-2.64, 4 Sb 2.75
Sb1 0.2500 0.2500 0.2500  6 Ni 2.65-2.80, 4 Re 2.75

Values from the calculation:
The value obtained for the formation energy from raw total energies is 341 meV per atom. The calculation puts the magnetization at 0.00 μB per atom. The final energy is -6.692 eV per atom. Its density is 11.97 g/cm³.

---

This record from the Alexandria database describes a geometry-optimized Re2NiSb structure. The functional is PBE.

Lattice parameters (Å, degrees): 3.1533 3.1533 6.3457 90.00 90.00 90.00
Last column: nearest neighbours and their distance in Å.
Fractional coordinates of all 4 atoms:
Re1 0.5000 0.5000 0.2129  4 Re 2.64, 1 Ni 2.83
Re2 0.0000 0.0000 0.9913  4 Re 2.64, 4 Ni 2.65, 1 Sb 2.94
Ni1 0.5000 0.5000 0.7670  5 Re 2.65-2.83, 4 Sb 2.69
Sb1 0.0000 0.0000 0.5287  4 Ni 2.69, 5 Re 2.94-3.00

Values from the calculation:
The value obtained for the formation energy from raw total energies is 301 meV per atom. The calculation puts the magnetization at 0.00 μB per atom. The final energy is -8.399 eV per atom. Its density is 14.55 g/cm³.

---

This record from the Alexandria database describes a geometry-optimized ReNi2Sb structure. The functional is PBE.

Lattice parameters (Å, degrees): 4.2423 2.8700 4.7044 89.99 90.00 90.00
Last column: nearest neighbours and their distance in Å.
Fractional coordinates of all 4 atoms:
Ni1 0.0000 0.1252 0.9760  2 Ni 2.55, 2 Re 2.62, 4 Sb 2.68
Ni2 0.5000 0.1246 0.2774  2 Ni 2.55, 2 Sb 2.64, 4 Re 2.67
Re1 0.0000 0.6249 0.4412  8 Ni 2.62-2.90, 2 Sb 2.73, 2 Re 2.87
Sb1 0.5000 0.6253 0.8055  8 Ni 2.64-2.87, 2 Re 2.73, 2 Sb 2.87

Values from the calculation:
The value obtained for the formation energy from raw total energies is 229 meV per atom. The calculation puts the magnetization at 0.00 μB per atom. The final energy is -6.804 eV per atom. Its density is 12.33 g/cm³.

---

This record from the Alexandria database describes a geometry-optimized Re2NiSb structure. The functional is PBE.

Lattice parameters (Å, degrees): 4.8776 4.8776 4.8776 132.77 132.77 69.01
Last column: nearest neighbours and their distance in Å.
Fractional coordinates of all 4 atoms:
Re1 0.5000 0.5000 0.0000  4 Re 2.76, 4 Ni 2.80, 4 Sb 2.80
Re2 0.0000 0.0000 0.0000  4 Re 2.76, 4 Sb 2.80, 4 Ni 2.80
Sb1 0.2500 0.7500 0.5000  4 Ni 2.76, 8 Re 2.80
Ni1 0.7500 0.2500 0.5000  4 Sb 2.76, 8 Re 2.80

Values from the calculation:
The value obtained for the formation energy from raw total energies is 558 meV per atom. The calculation puts the magnetization at 0.00 μB per atom. The final energy is -8.142 eV per atom. Its density is 14.96 g/cm³.

---

This record from the Alexandria database describes a geometry-optimized Re2NiSb structure. The functional is PBE.

Lattice parameters (Å, degrees): 3.1536 4.3253 4.5890 90.00 90.00 90.00
Last column: nearest neighbours and their distance in Å.
Fractional coordinates of all 4 atoms:
Re1 0.0000 0.0000 0.0000  4 Re 2.68, 4 Sb 2.78
Re2 0.5000 0.5000 0.0000  4 Re 2.68, 4 Ni 2.78
Sb1 0.5000 0.0000 0.5000  4 Ni 2.68, 4 Re 2.78
Ni1 0.0000 0.5000 0.5000  4 Sb 2.68, 4 Re 2.78

Values from the calculation:
The value obtained for the formation energy from raw total energies is 542 meV per atom. The calculation puts the magnetization at 0.00 μB per atom. The final energy is -8.158 eV per atom. Its density is 14.67 g/cm³.

---

This record from the Alexandria database describes a geometry-optimized ReNiSb2 structure. The functional is PBE.

Lattice parameters (Å, degrees): 4.1190 3.3885 5.4111 71.42 90.00 90.00
Last column: nearest neighbours and their distance in Å.
Fractional coordinates of all 4 atoms:
Re1 0.5000 0.5491 0.7798  2 Ni 2.70, 7 Sb 2.78-2.90
Sb1 0.0000 0.9712 0.9358  1 Ni 2.58, 4 Re 2.78-2.79
Sb2 0.5000 0.2661 0.3454  4 Ni 2.70-2.72, 3 Re 2.79-2.90
Ni1 0.0000 0.7136 0.4390  5 Sb 2.58-2.72, 2 Re 2.70

Values from the calculation:
The value obtained for the formation energy from raw total energies is 220 meV per atom. The calculation puts the magnetization at 0.00 μB per atom. The final energy is -6.398 eV per atom. Its density is 11.33 g/cm³. The value obtained for the offset from the most stable computed form is 0 meV/atom.